# Mg2CoN2

A geometry-optimized Mg2CoN2 structure (PBE-GGA, Alexandria via LeMat-Bulk).

## Properties
Its space-group type is No. 12. The calculation puts the density of states at the Fermi level at 5.9 states/eV/cell. For the total magnetization, the calculation gives 1.04 μB per formula unit. For the formation energy from raw total energies, the calculation gives -0.398 eV per atom.

```
data_Mg2CoN2
_cell_length_a 5.4924
_cell_length_b 5.4924
_cell_length_c 6.3034
_cell_angle_alpha 62.97
_cell_angle_beta 62.97
_cell_angle_gamma 45.76
_symmetry_space_group_name_H-M 'P 1'
_symmetry_Int_Tables_number 1
loop_
_symmetry_equiv_pos_as_xyz
'x,y,z'
loop_
_atom_site_label
_atom_site_type_symbol
_atom_site_fract_x
_atom_site_fract_y
_atom_site_fract_z
Mg1 Mg 0.3209 0.3209 0.5881
Mg2 Mg 0.6791 0.6791 0.4119
Mg3 Mg 0.9671 0.9671 0.7481
Mg4 Mg 0.0329 0.0329 0.2519
Co1 Co 0.6268 0.6268 0.8778
Co2 Co 0.3732 0.3732 0.1222
N1 N 0.8197 0.8197 0.6036
N2 N 0.1803 0.1803 0.3964
N3 N 0.5269 0.5269 0.2087
N4 N 0.4731 0.4731 0.7913
```